First-principles (meta-GGA SCAN) data for a PBEsol-optimized structure of AgSe2, as listed in the Alexandria database.

Cell and atoms, written as POSCAR:
```
AgSe2
1.0
6.411 0.000 0.000
0.000 6.411 0.000
0.000 0.000 6.411
Ag Se
4 8
Direct
0.000 0.000 0.000
0.000 0.500 0.500
0.500 0.000 0.500
0.500 0.500 0.000
0.105 0.605 0.895
0.105 0.895 0.395
0.395 0.105 0.895
0.395 0.395 0.395
0.605 0.605 0.605
0.605 0.895 0.105
0.895 0.105 0.605
0.895 0.395 0.105
```

Computed properties:
space group = Pa-3 (205)
magnetization = 0.00 μB/f.u.
DFT total energy = -286.9 eV for the cell shown

First-principles (meta-GGA SCAN) data for a PBEsol-optimized structure of Ag3Se5, as listed in the Alexandria database.

Cell and atoms, written as POSCAR:
```
Ag3Se5
1.0
7.125 0.000 0.000
0.000 12.445 0.000
0.000 0.000 3.797
Ag Se
6 10
Direct
0.000 0.000 0.000
0.000 0.198 0.500
0.000 0.802 0.500
0.500 0.302 0.500
0.500 0.500 0.000
0.500 0.698 0.500
0.000 0.500 0.000
0.249 0.500 0.500
0.250 0.250 0.000
0.250 0.750 0.000
0.251 0.000 0.500
0.500 0.000 0.000
0.749 0.000 0.500
0.750 0.250 0.000
0.750 0.750 0.000
0.751 0.500 0.500
```

Computed properties:
energy relative to the lowest polymorph listed for this composition = 1.72 eV per formula unit
space group = Cmmm (65)
magnetization = 0.00 μB/f.u.

First-principles (meta-GGA SCAN) data for a PBEsol-optimized structure of Ag7Se, as listed in the Alexandria database.

Cell and atoms, written as POSCAR:
```
Ag7Se
1.0
0.000 4.085 4.085
4.085 0.000 4.085
4.085 4.085 0.000
Ag Se
7 1
Direct
0.000 0.000 0.000
0.000 0.000 0.500
0.000 0.500 0.000
0.000 0.500 0.500
0.500 0.000 0.000
0.500 0.000 0.500
0.500 0.500 0.000
0.500 0.500 0.500
```

Computed properties:
space group = Fm-3m (225)
magnetization = 0.00 μB/f.u.
DFT total energy = -239.2 eV for the cell shown

First-principles (meta-GGA SCAN) data for a PBEsol-optimized structure of Ag8Se, as listed in the Alexandria database.

Cell and atoms, written as POSCAR:
```
Ag8Se
1.0
-4.378 4.378 1.992
4.378 -4.378 1.992
4.378 4.378 -1.992
Ag Se
8 1
Direct
0.000 0.336 0.336
0.000 0.664 0.664
0.331 0.331 0.662
0.331 0.669 0.000
0.336 0.000 0.336
0.664 0.000 0.664
0.669 0.331 0.000
0.669 0.669 0.338
0.000 0.000 0.000
```

Computed properties:
space group = I4/mmm (139)
magnetization = 0.00 μB/f.u.
DFT total energy = -270.9 eV for the cell shown

First-principles (meta-GGA SCAN) data for a PBEsol-optimized structure of AgSe2, as listed in the Alexandria database.

Cell and atoms, written as POSCAR:
```
AgSe2
1.0
12.978 0.000 0.000
0.000 3.890 0.000
-1.732 0.000 5.281
Ag Se
4 8
Direct
0.036 0.000 0.277
0.464 0.500 0.723
0.536 0.500 0.277
0.964 0.000 0.723
0.110 0.500 0.793
0.167 0.500 0.234
0.333 0.000 0.766
0.390 0.000 0.207
0.610 0.000 0.793
0.667 0.000 0.234
0.833 0.500 0.766
0.890 0.500 0.207
```

Computed properties:
space group = C2/m (12)
magnetization = 0.00 μB/f.u.
DFT total energy = -286.4 eV for the cell shown

First-principles (meta-GGA SCAN) data for a PBEsol-optimized structure of Ag5Se3, as listed in the Alexandria database.

Cell and atoms, written as POSCAR:
```
Ag5Se3
1.0
7.967 0.000 0.000
-3.983 6.900 0.000
0.000 0.000 5.587
Ag Se
10 6
Direct
0.000 0.209 0.250
0.000 0.791 0.750
0.209 0.000 0.250
0.209 0.209 0.750
0.333 0.667 0.000
0.333 0.667 0.500
0.667 0.333 0.000
0.667 0.333 0.500
0.791 0.000 0.750
0.791 0.791 0.250
0.000 0.375 0.750
0.000 0.625 0.250
0.375 0.000 0.750
0.375 0.375 0.250
0.625 0.000 0.250
0.625 0.625 0.750
```

Computed properties:
space group = P6_3/mcm (193)
magnetization = 0.00 μB/f.u.
DFT total energy = -433.8 eV for the cell shown

First-principles (meta-GGA SCAN) data for a PBEsol-optimized structure of Ag3Se5, as listed in the Alexandria database.

Cell and atoms, written as POSCAR:
```
Ag3Se5
1.0
6.261 0.000 0.000
3.044 7.502 0.000
2.218 2.977 7.729
Ag Se
6 10
Direct
0.000 0.000 0.000
0.030 0.523 0.912
0.228 0.759 0.605
0.399 0.995 0.699
0.545 0.430 0.156
0.617 0.426 0.611
0.097 0.314 0.531
0.185 0.249 0.240
0.270 0.705 0.930
0.308 0.546 0.410
0.341 0.123 0.989
0.618 0.836 0.411
0.662 0.844 0.126
0.778 0.361 0.885
0.817 0.026 0.623
0.850 0.102 0.315
```

Computed properties:
energy relative to the lowest polymorph listed for this composition = 0.00 eV per formula unit
space group = P1 (1)
magnetization = 0.00 μB/f.u.

First-principles (meta-GGA SCAN) data for a PBEsol-optimized structure of AgSe2, as listed in the Alexandria database.

Cell and atoms, written as POSCAR:
```
AgSe2
1.0
5.189 0.000 0.000
0.000 6.484 0.000
0.000 0.000 4.011
Ag Se
2 4
Direct
0.000 0.000 0.000
0.500 0.500 0.500
0.179 0.392 0.000
0.321 0.892 0.500
0.679 0.108 0.500
0.821 0.608 0.000
```

Computed properties:
space group = Pnnm (58)
magnetization = 0.00 μB/f.u.
DFT total energy = -143.4 eV for the cell shown